Record 1
# PBE Hf6ZnIn2, optimized geometry
# Formation enthalpy at 0 K, eV per atom: 0.384
data_Hf6ZnIn2
_chemical_formula_sum 'Hf12 Zn2 In4'
_space_group_name_H-M_alt 'C 1 2/m 1'
_space_group_IT_number 12
_cell_length_a 14.778
_cell_length_b 6.637
_cell_length_c 4.661
_cell_angle_alpha 90.00
_cell_angle_beta 108.25
_cell_angle_gamma 90.00
loop_
_space_group_symop_operation_xyz
'x,y,z'
'-x,-y,-z'
'-x,y,-z'
'x,-y,z'
'x+1/2,y+1/2,z'
'-x+1/2,-y+1/2,-z'
'-x+1/2,y+1/2,-z'
'x+1/2,-y+1/2,z'
loop_
_atom_site_label
_atom_site_fract_x
_atom_site_fract_y
_atom_site_fract_z
Hf1 0.000 0.235 0.000
Hf2 0.160 0.241 0.660
Zn1 0.000 0.000 0.500
In1 0.166 0.500 0.165

***

Record 2
# PBE Hf2ZnIn2, optimized geometry
# Formation enthalpy at 0 K, eV per atom: 0.088
data_Hf2ZnIn2
_chemical_formula_sum 'Hf4 Zn2 In4'
_space_group_name_H-M_alt 'P 4/m b m'
_space_group_IT_number 127
_space_group_name_Hall '-P 4 2ab'
_cell_length_a 7.123
_cell_length_b 7.123
_cell_length_c 4.469
_cell_angle_alpha 90.00
_cell_angle_beta 90.00
_cell_angle_gamma 90.00
loop_
_atom_site_label
_atom_site_fract_x
_atom_site_fract_y
_atom_site_fract_z
Hf1 0.152 0.348 0.000
Zn1 0.000 0.000 0.000
In1 0.154 0.654 0.500

***

Record 3
# PBE Hf2Zn4In, optimized geometry
# Formation enthalpy at 0 K, eV per atom: 0.631
data_Hf2Zn4In
_chemical_formula_sum 'Hf4 Zn8 In2'
_space_group_name_H-M_alt 'I 4/m m m'
_space_group_IT_number 139
_space_group_name_Hall '-I 4 2'
_cell_length_a 4.975
_cell_length_b 4.975
_cell_length_c 13.748
_cell_angle_alpha 90.00
_cell_angle_beta 90.00
_cell_angle_gamma 90.00
loop_
_atom_site_label
_atom_site_fract_x
_atom_site_fract_y
_atom_site_fract_z
Hf1 0.000 0.000 0.101
Zn1 0.000 0.000 0.300
Zn2 0.000 0.500 0.000
In1 0.000 0.000 0.500

***

Record 4
# PBE HfZnIn2, optimized geometry
# Formation enthalpy at 0 K, eV per atom: -0.115
data_HfZnIn2
_chemical_formula_sum 'Hf1 Zn1 In2'
_space_group_name_H-M_alt 'P 4/m m m'
_space_group_IT_number 123
_space_group_name_Hall '-P 4 2'
_cell_length_a 4.345
_cell_length_b 4.345
_cell_length_c 4.300
_cell_angle_alpha 90.00
_cell_angle_beta 90.00
_cell_angle_gamma 90.00
loop_
_atom_site_label
_atom_site_fract_x
_atom_site_fract_y
_atom_site_fract_z
Hf1 0.000 0.000 0.000
Zn1 0.500 0.500 0.000
In1 0.000 0.500 0.500

***

Record 5
# PBE Hf2Zn2In, optimized geometry
# Formation enthalpy at 0 K, eV per atom: -0.083
data_Hf2Zn2In
_chemical_formula_sum 'Hf4 Zn4 In2'
_space_group_name_H-M_alt 'I m m m'
_space_group_IT_number 71
_space_group_name_Hall '-I 2 2'
_cell_length_a 4.024
_cell_length_b 5.661
_cell_length_c 8.371
_cell_angle_alpha 90.00
_cell_angle_beta 90.00
_cell_angle_gamma 90.00
loop_
_atom_site_label
_atom_site_fract_x
_atom_site_fract_y
_atom_site_fract_z
Hf1 0.000 0.000 0.210
Zn1 0.000 0.292 0.500
In1 0.000 0.500 0.000

***

Record 6
# PBE HfZnIn2, optimized geometry
# Formation enthalpy at 0 K, eV per atom: 0.023
data_HfZnIn2
_chemical_formula_sum 'Hf1 Zn1 In2'
_space_group_name_H-M_alt 'P 4/m m m'
_space_group_IT_number 123
_space_group_name_Hall '-P 4 2'
_cell_length_a 3.437
_cell_length_b 3.437
_cell_length_c 7.080
_cell_angle_alpha 90.00
_cell_angle_beta 90.00
_cell_angle_gamma 90.00
loop_
_atom_site_label
_atom_site_fract_x
_atom_site_fract_y
_atom_site_fract_z
Hf1 0.000 0.000 0.000
Zn1 0.000 0.000 0.500
In1 0.500 0.500 0.272

***

Record 7
# PBE Hf2Zn2In, optimized geometry
# Formation enthalpy at 0 K, eV per atom: 0.194
data_Hf2Zn2In
_chemical_formula_sum 'Hf4 Zn4 In2'
_space_group_name_H-M_alt 'I 4/m m m'
_space_group_IT_number 139
_space_group_name_Hall '-I 4 2'
_cell_length_a 4.318
_cell_length_b 4.318
_cell_length_c 11.435
_cell_angle_alpha 90.00
_cell_angle_beta 90.00
_cell_angle_gamma 90.00
loop_
_atom_site_label
_atom_site_fract_x
_atom_site_fract_y
_atom_site_fract_z
Hf1 0.000 0.500 0.250
Zn1 0.000 0.000 0.102
In1 0.000 0.000 0.500

***

Record 8
# PBE Hf2Zn3In, optimized geometry
# Formation enthalpy at 0 K, eV per atom: -0.179
data_Hf2Zn3In
_chemical_formula_sum 'Hf16 Zn24 In8'
_space_group_name_H-M_alt 'F m m m'
_space_group_IT_number 69
_space_group_name_Hall '-F 2 2'
_cell_length_a 6.337
_cell_length_b 8.929
_cell_length_c 15.452
_cell_angle_alpha 90.00
_cell_angle_beta 90.00
_cell_angle_gamma 90.00
loop_
_atom_site_label
_atom_site_fract_x
_atom_site_fract_y
_atom_site_fract_z
Hf1 0.244 0.000 0.000
Hf2 0.250 0.250 0.250
Zn1 0.000 0.000 0.162
Zn2 0.000 0.243 0.080
In1 0.000 0.000 0.334

***

Q: Which spin magnetization values were calculated for the entries above? A: 0.00; 0.00; 0.00; 0.00; 0.00; 0.00; 0.00; 0.00, in μB/f.u..